Entry 1:
Density functional theory data (PBE) for a relaxed structure of Ti2VIrN.

```
Ti2VIrN
1.0
4.1299 0.0000 0.0000
0.0000 4.1299 0.0000
0.0000 0.0000 3.8470
Ti V Ir N
2 1 1 1
direct
0.0000 0.5000 0.0000 Ti
0.5000 0.0000 0.0000 Ti
0.0000 0.0000 0.5000 V
0.5000 0.5000 0.5000 Ir
0.0000 0.0000 0.0000 N
```

Values from the calculation:
DOS(E_F): 1.1989 states/eV/atom
Total magnetization: 0.074 μB per atom
Formation energy from raw total energies: -0.962 eV per atom

Entry 2:
Density functional theory data (PBE) for a relaxed structure of PmHo4Er2.

```
PmHo4Er2
1.0
6.0869 0.0000 0.0000
0.0000 6.5172 0.0000
-2.8210 0.0000 11.0932
Pm Ho Er
2 8 4
direct
0.0398 0.2500 0.3623 Pm
0.9602 0.7500 0.6377 Pm
0.1502 0.2500 0.6632 Ho
0.2863 0.7500 0.9248 Ho
0.3480 0.5073 0.2112 Ho
0.3480 0.9927 0.2112 Ho
0.6520 0.0073 0.7888 Ho
0.6520 0.4927 0.7888 Ho
0.7137 0.2500 0.0752 Ho
0.8498 0.7500 0.3368 Ho
0.1514 0.2500 0.9482 Er
0.3953 0.7500 0.5064 Er
0.6047 0.2500 0.4936 Er
0.8486 0.7500 0.0518 Er
```

Values from the calculation:
DOS(E_F): 1.7077 states/eV/atom
Total magnetization: 0.000 μB per atom
Energy of formation: 0.131 eV per atom

Entry 3:
Density functional theory data (PBE) for a relaxed structure of CsIn3Ga2.

```
CsIn3Ga2
1.0
9.9798 -2.3074 0.0000
9.9798 2.3074 0.0000
-0.8225 0.0000 8.5146
Cs In Ga
2 6 4
direct
0.0920 0.0920 0.2297 Cs
0.9080 0.9080 0.7703 Cs
0.1023 0.1023 0.7507 In
0.3048 0.3048 0.4487 In
0.3120 0.3120 0.0690 In
0.6880 0.6880 0.9310 In
0.6952 0.6952 0.5513 In
0.8977 0.8977 0.2493 In
0.2503 0.2503 0.7509 Ga
0.4470 0.4470 0.4032 Ga
0.5530 0.5530 0.5968 Ga
0.7497 0.7497 0.2491 Ga
```

Values from the calculation:
DOS(E_F): 0.4644 states/eV/atom
Total magnetization: 0.000 μB per atom
Energy of formation: -0.043 eV per atom

Entry 4:
Density functional theory data (PBE) for a relaxed structure of MgSbPtW2.

```
MgSbPtW2
1.0
4.9495 0.0000 0.0000
0.0000 4.9495 0.0000
0.0000 0.0000 4.9067
Mg Sb Pt W
1 1 1 2
direct
0.0000 0.0000 0.0000 Mg
0.5000 0.5000 0.5000 Sb
0.5000 0.5000 0.0000 Pt
0.0000 0.5000 0.5000 W
0.5000 0.0000 0.5000 W
```

Values from the calculation:
DOS(E_F): 1.0925 states/eV/atom
Total magnetization: 0.000 μB per atom
Formation energy from raw total energies: 1.805 eV per atom

Entry 5:
Density functional theory data (PBE) for a relaxed structure of Ac7TbPr3.

```
Ac7TbPr3
1.0
6.1766 -5.6036 0.0000
6.1766 5.6036 0.0000
-0.7566 0.0000 6.9065
Ac Tb Pr
7 1 3
direct
0.0000 0.0000 0.0000 Ac
0.0784 0.4189 0.2603 Ac
0.2615 0.2615 0.7716 Ac
0.4189 0.0784 0.2603 Ac
0.5811 0.9216 0.7397 Ac
0.7385 0.7385 0.2284 Ac
0.9216 0.5811 0.7397 Ac
0.0000 0.0000 0.5000 Tb
0.3358 0.6642 0.0000 Pr
0.5000 0.5000 0.5000 Pr
0.6642 0.3358 0.0000 Pr
```

Values from the calculation:
DOS(E_F): 1.5997 states/eV/atom
Total magnetization: 0.000 μB per atom
Energy of formation: 0.256 eV per atom

Entry 6:
Density functional theory data (PBE) for a relaxed structure of NaCa2TcSb.

```
NaCa2TcSb
1.0
5.9060 0.0000 0.0000
0.0000 5.9060 0.0000
0.0000 0.0000 5.5950
Na Ca Tc Sb
1 2 1 1
direct
0.0000 0.0000 0.0000 Na
0.0000 0.5000 0.5000 Ca
0.5000 0.0000 0.5000 Ca
0.5000 0.5000 0.0000 Tc
0.0000 0.0000 0.5000 Sb
```

Values from the calculation:
DOS(E_F): 0.4579 states/eV/atom
Total magnetization: 0.649 μB per atom
Formation energy from raw total energies: 0.658 eV per atom

Entry 7:
Density functional theory data (PBE) for a relaxed structure of BaTcOs.

```
BaTcOs
1.0
6.1302 -2.2338 0.0000
6.1302 2.2338 0.0000
-0.0269 0.0000 5.2023
Ba Tc Os
2 2 2
direct
0.0000 0.0000 0.0000 Ba
0.5615 0.5615 0.4971 Ba
0.2800 0.2800 0.7610 Tc
0.8162 0.8162 0.4876 Tc
0.2791 0.2791 0.2628 Os
0.7427 0.7427 0.9895 Os
```

Values from the calculation:
DOS(E_F): 0.7374 states/eV/atom
Total magnetization: 0.000 μB per atom
Energy of formation: 0.413 eV per atom

Entry 8:
Density functional theory data (PBE) for a relaxed structure of KNa2Cd3.

```
KNa2Cd3
1.0
6.0875 -5.3638 0.0000
6.0875 5.3638 0.0000
0.0000 0.0000 6.3710
K Na Cd
2 4 6
direct
0.1546 0.8454 0.7500 K
0.8454 0.1546 0.2500 K
0.3161 0.3161 0.0000 Na
0.3161 0.3161 0.5000 Na
0.6839 0.6839 0.0000 Na
0.6839 0.6839 0.5000 Na
0.0160 0.5466 0.2500 Cd
0.3424 0.6576 0.2500 Cd
0.4534 0.9840 0.2500 Cd
0.5466 0.0160 0.7500 Cd
0.6576 0.3424 0.7500 Cd
0.9840 0.4534 0.7500 Cd
```

Values from the calculation:
DOS(E_F): 0.4029 states/eV/atom
Total magnetization: 0.000 μB per atom
Energy of formation: -0.016 eV per atom

Entry 9:
Density functional theory data (PBE) for a relaxed structure of MgMnIn2.

```
MgMnIn2
1.0
-2.1796 2.1796 4.3279
2.1796 -2.1796 4.3279
2.1796 2.1796 -4.3279
Mg Mn In
1 1 2
direct
0.0000 0.0000 0.0000 Mg
0.5000 0.5000 0.0000 Mn
0.2500 0.7500 0.5000 In
0.7500 0.2500 0.5000 In
```

Values from the calculation:
DOS(E_F): 0.6398 states/eV/atom
Total magnetization: 0.897 μB per atom
Energy of formation: 0.118 eV per atom

Entry 10:
Density functional theory data (PBE) for a relaxed structure of CaZr2Au2.

```
CaZr2Au2
1.0
8.5033 0.0000 0.0000
0.0000 8.5033 0.0000
0.0000 0.0000 3.0882
Ca Zr Au
2 4 4
direct
0.0000 0.0000 0.0000 Ca
0.5000 0.5000 0.0000 Ca
0.1240 0.3760 0.0000 Zr
0.3760 0.8760 0.0000 Zr
0.6240 0.1240 0.0000 Zr
0.8760 0.6240 0.0000 Zr
0.1726 0.6726 0.5000 Au
0.3274 0.1726 0.5000 Au
0.6726 0.8274 0.5000 Au
0.8274 0.3274 0.5000 Au
```

Values from the calculation:
DOS(E_F): 0.7438 states/eV/atom
Total magnetization: 0.000 μB per atom
Energy of formation: -0.338 eV per atom

Entry 11:
Density functional theory data (PBE) for a relaxed structure of Pm2Zn12Cu3Sn.

```
Pm2Zn12Cu3Sn
1.0
3.1559 1.8221 9.8063
-3.1559 1.8221 9.8063
0.0000 -3.6442 9.8063
Pm Zn Cu Sn
2 12 3 1
direct
0.1394 0.1394 0.1394 Pm
0.8606 0.8606 0.8606 Pm
0.0581 0.6212 0.6212 Zn
0.0870 0.0870 0.6926 Zn
0.0870 0.6926 0.0870 Zn
0.3074 0.9130 0.9130 Zn
0.3788 0.3788 0.9419 Zn
0.3788 0.9419 0.3788 Zn
0.6212 0.0581 0.6212 Zn
0.6212 0.6212 0.0581 Zn
0.6926 0.0870 0.0870 Zn
0.9130 0.3074 0.9130 Zn
0.9130 0.9130 0.3074 Zn
0.9419 0.3788 0.3788 Zn
0.0000 0.5000 0.5000 Cu
0.5000 0.0000 0.5000 Cu
0.5000 0.5000 0.0000 Cu
0.5000 0.5000 0.5000 Sn
```

Values from the calculation:
DOS(E_F): 0.4092 states/eV/atom
Total magnetization: 0.000 μB per atom
Energy of formation: -0.023 eV per atom

Entry 12:
Density functional theory data (PBE) for a relaxed structure of NaInAu2.

```
NaInAu2
1.0
2.0703 1.1953 6.9708
-2.0703 1.1953 6.9708
0.0000 -2.3906 6.9708
Na In Au
1 1 2
direct
0.0000 0.0000 0.0000 Na
0.1696 0.1696 0.1696 In
0.4287 0.4287 0.4287 Au
0.5746 0.5746 0.5746 Au
```

Values from the calculation:
DOS(E_F): 0.2463 states/eV/atom
Total magnetization: 0.000 μB per atom
Energy of formation: -0.115 eV per atom

Q: What is the formula in the ninth record?
A: MgMnIn2

Q: What is the DOS(E_F) in the second record?
A: 1.7077 states/eV/atom